w:
Material: Mg7Tl4Pb
Method: DFT, PBE
State: optimized geometry

Geometry as POSCAR:
```
Mg7Tl4Pb
1.0
-0.466 4.637 -3.178
-6.598 -2.117 -7.127
-4.727 4.151 1.743
Tl Mg Pb
4 7 1
direct
0.405 0.771 0.418
0.735 0.688 0.842
0.595 0.229 0.582
0.265 0.312 0.158
0.348 0.534 0.771
0.652 0.466 0.229
0.042 0.634 0.281
0.500 0.000 0.000
0.208 0.079 0.506
0.958 0.366 0.719
0.792 0.921 0.494
0.000 0.000 0.000
```

Calculated values
Symmetry: C2/m (12)

***

x:
Material: Mg7Tl4Pb
Method: DFT, PBE
State: optimized geometry

Geometry as POSCAR:
```
Mg7Tl4Pb
1.0
-2.470 -1.741 1.633
2.568 -1.691 -1.533
15.823 1.188 25.194
Mg Tl Pb
7 4 1
direct
0.000 0.000 0.000
0.333 0.667 0.166
0.667 0.333 0.834
0.000 0.000 0.250
0.000 0.000 0.750
0.667 0.333 0.585
0.333 0.667 0.415
0.667 0.333 0.333
0.667 0.333 0.083
0.333 0.667 0.917
0.333 0.667 0.667
0.000 0.000 0.500
```

Calculated values
Symmetry: P-3m1 (164)

***

Verdict on stability: w comes out at the bottom.

***

w:
Material: MgTl3Pb6
Method: DFT, PBE
State: optimized geometry

Geometry as POSCAR:
```
MgTl3Pb6
1.0
3.520 0.000 0.000
0.000 13.443 -4.440
0.000 0.787 12.672
Pb Mg Tl
12 2 6
direct
0.750 0.030 0.385
0.750 0.376 0.806
0.250 0.777 0.925
0.750 0.823 0.163
0.250 0.177 0.837
0.250 0.565 0.737
0.250 0.970 0.615
0.750 0.435 0.263
0.250 0.233 0.322
0.750 0.223 0.075
0.250 0.624 0.194
0.750 0.767 0.678
0.750 0.592 0.971
0.250 0.408 0.029
0.750 0.978 0.876
0.250 0.599 0.472
0.750 0.401 0.528
0.250 0.022 0.124
0.750 0.792 0.416
0.250 0.208 0.584
```

Calculated values
Symmetry: P2_1/m (11)

***

x:
Material: MgTl3Pb6
Method: DFT, PBE
State: optimized geometry

Geometry as POSCAR:
```
MgTl3Pb6
1.0
6.385 0.000 0.000
-3.192 5.529 0.000
0.000 0.000 8.934
Mg Tl Pb
1 3 6
direct
0.000 0.000 0.000
0.333 0.667 0.500
0.667 0.333 0.500
0.000 0.000 0.500
0.000 0.397 0.819
0.397 0.000 0.819
0.603 0.603 0.819
0.603 0.000 0.181
0.397 0.397 0.181
0.000 0.603 0.181
```

Calculated values
Symmetry: P-31m (162)

***

Verdict on stability: x comes out at the bottom.